Computed, not measured: a PBEsol-optimized structure of Y3Ru2 at the SCAN level of DFT.

abc: 7.543 7.543 4.626
angles: 90.00 90.00 120.00
Positions (direct):
Y1 0.080 0.384 0.250
Y2 0.304 0.920 0.250
Y3 0.384 0.304 0.750
Y4 0.616 0.696 0.250
Y5 0.696 0.080 0.750
Y6 0.920 0.616 0.750
Ru1 0.000 0.000 0.000
Ru2 0.000 0.000 0.500
Ru3 0.333 0.667 0.750
Ru4 0.667 0.333 0.250

Summary:
- polymorph energy (0 for the lowest one) (meV/atom) = 0
- energy relative to the elements (kJ/mol of formula units) = -164

***

Computed, not measured: a PBEsol-optimized structure of ZrAlRe2 at the SCAN level of DFT.

abc: 2.988 2.988 7.327
angles: 90.00 90.00 90.00
Positions (direct):
Zr1 0.000 0.000 0.000
Al1 0.500 0.500 0.289
Re1 0.000 0.000 0.511
Re2 0.500 0.500 0.714

Summary:
- energy relative to the elements (kJ/mol of formula units) = -114

***

Computed, not measured: a PBEsol-optimized structure of LiHf2Pt2 at the SCAN level of DFT.

abc: 7.561 7.561 3.209
angles: 90.00 90.00 90.00
Positions (direct):
Li1 0.000 0.000 0.000
Li2 0.500 0.500 0.000
Hf1 0.162 0.338 0.500
Hf2 0.338 0.838 0.500
Hf3 0.662 0.162 0.500
Hf4 0.838 0.662 0.500
Pt1 0.137 0.637 0.000
Pt2 0.363 0.137 0.000
Pt3 0.637 0.863 0.000
Pt4 0.863 0.363 0.000

Summary:
- energy relative to the elements (kJ/mol of formula units) = -504

***

Computed, not measured: a PBEsol-optimized structure of AlCoS2 at the SCAN level of DFT.

abc: 3.269 3.269 20.892
angles: 90.00 90.00 120.00
Positions (direct):
Al1 0.000 0.000 0.000
Al2 0.333 0.667 0.667
Al3 0.667 0.333 0.333
Co1 0.000 0.000 0.500
Co2 0.333 0.667 0.167
Co3 0.667 0.333 0.833
S1 0.000 0.000 0.112
S2 0.000 0.000 0.888
S3 0.333 0.667 0.555
S4 0.333 0.667 0.779
S5 0.667 0.333 0.221
S6 0.667 0.333 0.445

Summary:
- ΔE_f (raw) (eV/atom) = -0.422

***

Computed, not measured: a PBEsol-optimized structure of BeRu at the SCAN level of DFT.

abc: 7.827 6.916 4.677
angles: 90.00 90.00 90.00
Positions (direct):
Be1 0.068 0.250 0.000
Be2 0.068 0.250 0.500
Be3 0.138 0.634 0.250
Be4 0.138 0.866 0.750
Be5 0.416 0.051 0.250
Be6 0.416 0.449 0.750
Be7 0.584 0.551 0.250
Be8 0.584 0.949 0.750
Be9 0.862 0.134 0.250
Be10 0.862 0.366 0.750
Be11 0.932 0.750 0.000
Be12 0.932 0.750 0.500
Ru1 0.125 0.525 0.750
Ru2 0.125 0.975 0.250
Ru3 0.311 0.128 0.750
Ru4 0.311 0.372 0.250
Ru5 0.384 0.750 0.000
Ru6 0.384 0.750 0.500
Ru7 0.616 0.250 0.000
Ru8 0.616 0.250 0.500
Ru9 0.689 0.628 0.750
Ru10 0.689 0.872 0.250
Ru11 0.875 0.025 0.750
Ru12 0.875 0.475 0.250

Summary:
- energy relative to the elements (kJ/mol of formula units) = -53

***

Computed, not measured: a PBEsol-optimized structure of FeTcAs2Pd at the SCAN level of DFT.

abc: 4.616 4.616 4.971
angles: 90.00 90.00 90.00
Positions (direct):
Fe1 0.000 0.000 0.000
Tc1 0.500 0.500 0.000
As1 0.000 0.500 0.500
As2 0.500 0.000 0.500
Pd1 0.500 0.500 0.500

Summary:
- energy relative to the elements (kJ/mol of formula units) = 609

***

Computed, not measured: a PBEsol-optimized structure of CoBi2As2 at the SCAN level of DFT.

abc: 4.956 4.952 9.596
angles: 90.00 104.88 90.00
Positions (direct):
Co1 0.000 0.000 0.000
Co2 0.500 0.500 0.000
Bi1 0.085 0.500 0.169
Bi2 0.415 0.000 0.831
Bi3 0.585 0.000 0.169
Bi4 0.915 0.500 0.831
As1 0.000 0.250 0.500
As2 0.000 0.750 0.500
As3 0.500 0.250 0.500
As4 0.500 0.750 0.500

Summary:
- energy relative to the elements (kJ/mol of formula units) = 218

***

Computed, not measured: a PBEsol-optimized structure of Nb2ReBiI at the SCAN level of DFT.

abc: 4.929 4.929 5.619
angles: 90.00 90.00 90.00
Positions (direct):
Nb1 0.000 0.500 0.000
Nb2 0.500 0.000 0.000
Re1 0.000 0.000 0.500
Bi1 0.500 0.500 0.500
I1 0.500 0.500 0.000

Summary:
- ΔE_f (raw) (eV/atom) = 2.666

***

Computed, not measured: a PBEsol-optimized structure of YHgOF2 at the SCAN level of DFT.

abc: 4.317 4.317 4.461
angles: 90.00 90.00 90.00
Positions (direct):
Y1 0.000 0.000 0.000
Hg1 0.500 0.500 0.500
O1 0.000 0.000 0.500
F1 0.000 0.500 0.000
F2 0.500 0.000 0.000

Summary:
- ΔE_f (raw) (eV/atom) = -2.738

***

Computed, not measured: a PBEsol-optimized structure of CsP2Pb2 at the SCAN level of DFT.

abc: 5.103 5.103 11.684
angles: 90.00 90.00 90.00
Positions (direct):
Cs1 0.000 0.000 0.000
Cs2 0.500 0.500 0.500
P1 0.000 0.500 0.250
P2 0.000 0.500 0.750
P3 0.500 0.000 0.250
P4 0.500 0.000 0.750
Pb1 0.000 0.000 0.348
Pb2 0.000 0.000 0.652
Pb3 0.500 0.500 0.152
Pb4 0.500 0.500 0.848

Summary:
- energy relative to the elements (kJ/mol of formula units) = -25

***

Computed, not measured: a PBEsol-optimized structure of YAg2Au at the SCAN level of DFT.

abc: 4.236 4.236 8.507
angles: 90.00 90.00 90.00
Positions (direct):
Y1 0.000 0.000 0.000
Y2 0.500 0.500 0.500
Ag1 0.000 0.500 0.250
Ag2 0.000 0.500 0.750
Ag3 0.500 0.000 0.250
Ag4 0.500 0.000 0.750
Au1 0.000 0.000 0.500
Au2 0.500 0.500 0.000

Summary:
- polymorph energy (0 for the lowest one) (meV/atom) = 30
- energy relative to the elements (kJ/mol of formula units) = -185

***

Computed, not measured: a PBEsol-optimized structure of CdIn2Te at the SCAN level of DFT.

abc: 6.594 9.968 3.181
angles: 90.00 90.00 90.00
Positions (direct):
Cd1 0.000 0.000 0.000
Cd2 0.500 0.500 0.000
In1 0.250 0.250 0.500
In2 0.250 0.750 0.500
In3 0.750 0.250 0.500
In4 0.750 0.750 0.500
Te1 0.000 0.500 0.000
Te2 0.500 0.000 0.000

Summary:
- polymorph energy (0 for the lowest one) (meV/atom) = 60
- ΔE_f (raw) (eV/atom) = 0.050

***

What did the fifth record say?
Computed, not measured: a PBEsol-optimized structure of BeRu at the SCAN level of DFT.

abc: 7.827 6.916 4.677
angles: 90.00 90.00 90.00
Positions (direct):
Be1 0.068 0.250 0.000
Be2 0.068 0.250 0.500
Be3 0.138 0.634 0.250
Be4 0.138 0.866 0.750
Be5 0.416 0.051 0.250
Be6 0.416 0.449 0.750
Be7 0.584 0.551 0.250
Be8 0.584 0.949 0.750
Be9 0.862 0.134 0.250
Be10 0.862 0.366 0.750
Be11 0.932 0.750 0.000
Be12 0.932 0.750 0.500
Ru1 0.125 0.525 0.750
Ru2 0.125 0.975 0.250
Ru3 0.311 0.128 0.750
Ru4 0.311 0.372 0.250
Ru5 0.384 0.750 0.000
Ru6 0.384 0.750 0.500
Ru7 0.616 0.250 0.000
Ru8 0.616 0.250 0.500
Ru9 0.689 0.628 0.750
Ru10 0.689 0.872 0.250
Ru11 0.875 0.025 0.750
Ru12 0.875 0.475 0.250

Summary:
- energy relative to the elements (kJ/mol of formula units) = -53